## LiCa2N (SCAN)

Data for LiCa2N at its PBEsol-relaxed geometry. Values from VASP.

Structure (Quantum ESPRESSO input):
```
&SYSTEM
  ibrav = 0, nat = 16, ntyp = 3
/
ATOMIC_SPECIES
Li 6.94 Li.upf
Ca 40.08 Ca.upf
N 14.01 N.upf
ATOMIC_POSITIONS crystal
Li 0.000 0.000 0.000
Li 0.000 0.500 0.250
Li 0.500 0.000 0.750
Li 0.500 0.500 0.500
Ca 0.114 0.250 0.625
Ca 0.250 0.614 0.875
Ca 0.250 0.886 0.375
Ca 0.386 0.250 0.125
Ca 0.614 0.750 0.125
Ca 0.750 0.114 0.375
Ca 0.750 0.386 0.875
Ca 0.886 0.750 0.625
N 0.000 0.000 0.500
N 0.000 0.500 0.750
N 0.500 0.000 0.250
N 0.500 0.500 0.000
CELL_PARAMETERS angstrom
7.096 0.000 0.000
0.000 7.096 0.000
0.000 0.000 8.845
```

Properties
Crystal system: tetragonal
DOS(E_F), states/eV/f.u.: 1.062
ΔE_f (raw), eV per atom: -0.3458
Electronic total energy, eV per atom: -8.098

## Li2Ca5N4 (SCAN)

Data for Li2Ca5N4 at its PBEsol-relaxed geometry. Values from VASP.

Structure (Quantum ESPRESSO input):
```
&SYSTEM
  ibrav = 0, nat = 44, ntyp = 3
/
ATOMIC_SPECIES
Li 6.94 Li.upf
Ca 40.08 Ca.upf
N 14.01 N.upf
ATOMIC_POSITIONS crystal
Li 0.098 0.598 0.250
Li 0.098 0.902 0.750
Li 0.402 0.598 0.750
Li 0.402 0.902 0.250
Li 0.598 0.098 0.750
Li 0.598 0.402 0.250
Li 0.902 0.098 0.250
Li 0.902 0.402 0.750
Ca 0.077 0.633 0.585
Ca 0.077 0.867 0.085
Ca 0.133 0.577 0.915
Ca 0.133 0.923 0.415
Ca 0.250 0.250 0.126
Ca 0.250 0.250 0.626
Ca 0.367 0.577 0.415
Ca 0.367 0.923 0.915
Ca 0.423 0.633 0.085
Ca 0.423 0.867 0.585
Ca 0.577 0.133 0.415
Ca 0.577 0.367 0.915
Ca 0.633 0.077 0.085
Ca 0.633 0.423 0.585
Ca 0.750 0.750 0.374
Ca 0.750 0.750 0.874
Ca 0.867 0.077 0.585
Ca 0.867 0.423 0.085
Ca 0.923 0.133 0.915
Ca 0.923 0.367 0.415
N 0.053 0.636 0.394
N 0.053 0.864 0.894
N 0.136 0.553 0.106
N 0.136 0.947 0.606
N 0.364 0.553 0.606
N 0.364 0.947 0.106
N 0.447 0.636 0.894
N 0.447 0.864 0.394
N 0.553 0.136 0.606
N 0.553 0.364 0.106
N 0.636 0.053 0.894
N 0.636 0.447 0.394
N 0.864 0.053 0.394
N 0.864 0.447 0.894
N 0.947 0.136 0.106
N 0.947 0.364 0.606
CELL_PARAMETERS angstrom
7.834 0.000 0.000
0.000 7.834 0.000
0.000 0.000 12.880
```

Properties
Crystal system: tetragonal
DOS(E_F), states/eV/f.u.: 3.189
ΔE_f (raw), eV per atom: -0.8041
Electronic total energy, eV per atom: -9.010

## LiCaPt2N (SCAN)

Data for LiCaPt2N at its PBEsol-relaxed geometry. Values from VASP.

Structure (Quantum ESPRESSO input):
```
&SYSTEM
  ibrav = 0, nat = 5, ntyp = 4
/
ATOMIC_SPECIES
Li 6.94 Li.upf
Ca 40.08 Ca.upf
Pt 195.08 Pt.upf
N 14.01 N.upf
ATOMIC_POSITIONS crystal
Li 0.000 0.000 0.000
Ca 0.500 0.500 0.000
Pt 0.000 0.500 0.500
Pt 0.500 0.000 0.500
N 0.500 0.500 0.500
CELL_PARAMETERS angstrom
4.137 0.000 0.000
0.000 4.137 0.000
0.000 0.000 4.538
```

Properties
Crystal system: tetragonal
DOS(E_F), states/eV/f.u.: 2.612
ΔE_f (raw), eV per atom: -0.2400
Electronic total energy, eV per atom: -32.586

## LiCaRhN2 (SCAN)

Data for LiCaRhN2 at its PBEsol-relaxed geometry. Values from VASP.

Structure (Quantum ESPRESSO input):
```
&SYSTEM
  ibrav = 0, nat = 5, ntyp = 4
/
ATOMIC_SPECIES
Li 6.94 Li.upf
Ca 40.08 Ca.upf
Rh 102.91 Rh.upf
N 14.01 N.upf
ATOMIC_POSITIONS crystal
Li 0.000 0.000 0.000
Ca 0.500 0.500 0.500
Rh 0.000 0.000 0.500
N 0.000 0.500 0.000
N 0.500 0.000 0.000
CELL_PARAMETERS angstrom
3.900 0.000 0.000
0.000 3.900 0.000
0.000 0.000 3.884
```

Properties
Crystal system: tetragonal
DOS(E_F), states/eV/f.u.: 2.496
ΔE_f (raw), eV per atom: 0.9183
Electronic total energy, eV per atom: -11.963

## LiCaS2N (SCAN)

Data for LiCaS2N at its PBEsol-relaxed geometry. Values from VASP.

Structure (Quantum ESPRESSO input):
```
&SYSTEM
  ibrav = 0, nat = 5, ntyp = 4
/
ATOMIC_SPECIES
Li 6.94 Li.upf
Ca 40.08 Ca.upf
S 32.06 S.upf
N 14.01 N.upf
ATOMIC_POSITIONS crystal
Li 0.000 0.000 0.000
Ca 0.500 0.500 0.500
S 0.000 0.500 0.000
S 0.500 0.000 0.000
N 0.000 0.000 0.500
CELL_PARAMETERS angstrom
4.566 0.000 0.000
0.000 4.566 0.000
0.000 0.000 3.964
```

Properties
Crystal system: tetragonal
DOS(E_F), states/eV/f.u.: 2.372
ΔE_f (raw), eV per atom: -0.1923
Electronic total energy, eV per atom: -8.312

## Sr2LiCaN (SCAN)

Data for Sr2LiCaN at its PBEsol-relaxed geometry. Values from VASP.

Structure (Quantum ESPRESSO input):
```
&SYSTEM
  ibrav = 0, nat = 5, ntyp = 4
/
ATOMIC_SPECIES
Sr 87.62 Sr.upf
Li 6.94 Li.upf
Ca 40.08 Ca.upf
N 14.01 N.upf
ATOMIC_POSITIONS crystal
Sr 0.000 0.500 0.000
Sr 0.500 0.000 0.000
Li 0.000 0.000 0.500
Ca 0.500 0.500 0.500
N 0.000 0.000 0.000
CELL_PARAMETERS angstrom
5.255 0.000 0.000
0.000 5.255 0.000
0.000 0.000 5.059
```

Properties
Crystal system: tetragonal
DOS(E_F), states/eV/f.u.: 2.942
ΔE_f (raw), eV per atom: -0.0274
Electronic total energy, eV per atom: -13.206

## LiCaTe2N (SCAN)

Data for LiCaTe2N at its PBEsol-relaxed geometry. Values from VASP.

Structure (Quantum ESPRESSO input):
```
&SYSTEM
  ibrav = 0, nat = 5, ntyp = 4
/
ATOMIC_SPECIES
Li 6.94 Li.upf
Ca 40.08 Ca.upf
Te 127.60 Te.upf
N 14.01 N.upf
ATOMIC_POSITIONS crystal
Li 0.000 0.000 0.000
Ca 0.500 0.500 0.500
Te 0.000 0.500 0.500
Te 0.500 0.000 0.500
N 0.500 0.500 0.000
CELL_PARAMETERS angstrom
5.863 0.000 0.000
0.000 5.863 0.000
0.000 0.000 4.515
```

Properties
Crystal system: tetragonal
DOS(E_F), states/eV/f.u.: 3.177
ΔE_f (raw), eV per atom: 0.2359
Electronic total energy, eV per atom: -18.933

## NaLi3Ca (SCAN)

Data for NaLi3Ca at its PBEsol-relaxed geometry. Values from VASP.

Structure (Quantum ESPRESSO input):
```
&SYSTEM
  ibrav = 0, nat = 5, ntyp = 3
/
ATOMIC_SPECIES
Na 22.99 Na.upf
Li 6.94 Li.upf
Ca 40.08 Ca.upf
ATOMIC_POSITIONS crystal
Na 0.000 0.000 0.000
Li 0.000 0.000 0.500
Li 0.000 0.500 0.000
Li 0.500 0.000 0.000
Ca 0.500 0.500 0.500
CELL_PARAMETERS angstrom
5.249 0.000 0.000
0.000 5.249 0.000
0.000 0.000 5.249
```

Properties
E_form, eV/atom: 0.2496
Crystal system: cubic
DOS(E_F), states/eV/f.u.: 2.668
Energy above the lowest structure with this stoichiometry, meV/atom: 0
Electronic total energy, eV per atom: -3.960